A plane-wave DFT calculation with PBE was carried out for a relaxed structure of MgMo2.

a = 5.4899 Å, b = 4.4765 Å, c = 8.1882 Å
α = 90.00°, β = 90.00°, γ = 90.00°
With the nearest neighbours (Å) after each atom.
Sites, in units of the cell vectors:
1 Mo 0.6196 0.2500 0.1884  3 Mo 2.59-2.64, 1 Mg 2.82
2 Mo 0.8804 0.7500 0.6884  3 Mo 2.59-2.64, 1 Mg 2.82
3 Mg 0.6328 0.2500 0.5326  2 Mg 2.72, 8 Mo 2.78-2.93
4 Mo 0.3812 0.7500 0.1284  3 Mo 2.59-2.64, 2 Mg 2.78
5 Mo 0.3804 0.7500 0.8116  3 Mo 2.59-2.64, 1 Mg 2.82
6 Mo 0.1188 0.2500 0.6284  3 Mo 2.59-2.64, 2 Mg 2.78
7 Mo 0.8812 0.7500 0.3716  3 Mo 2.59-2.64, 2 Mg 2.78
8 Mg 0.3672 0.7500 0.4674  2 Mg 2.72, 8 Mo 2.78-2.93
9 Mo 0.6188 0.2500 0.8716  3 Mo 2.59-2.64, 2 Mg 2.78
10 Mo 0.1196 0.2500 0.3116  3 Mo 2.59-2.64, 1 Mg 2.82
11 Mg 0.1328 0.2500 0.9674  2 Mg 2.72, 8 Mo 2.78-2.93
12 Mg 0.8672 0.7500 0.0326  2 Mg 2.72, 8 Mo 2.78-2.93

Computed properties:
- Calculated formation energy: 326 meV/atom
- Symmetry: Pnma

***

A plane-wave DFT calculation with PBE was carried out for a relaxed structure of Pu3Ge4Pd4.

a = 4.2379 Å, b = 7.1917 Å, c = 8.1142 Å
α = 116.31°, β = 105.14°, γ = 90.00°
With the nearest neighbours (Å) after each atom.
Sites, in units of the cell vectors:
1 Pu 0.8805 0.8805 0.7610  6 Ge 3.03-3.09, 6 Pd 3.14-3.17, 1 Pu 3.33
2 Pu 0.0000 0.5000 0.0000  6 Ge 3.05-3.06
3 Pd 0.3228 0.1247 0.6455  4 Ge 2.59-2.62, 1 Pd 2.85
4 Pu 0.1195 0.1195 0.2390  6 Ge 3.03-3.09, 6 Pd 3.14-3.17, 1 Pu 3.33
5 Ge 0.7806 0.2806 0.5613  6 Pd 2.61-2.62
6 Ge 0.5000 0.1939 0.0000  2 Pd 2.59, 1 Ge 2.79
7 Ge 0.2194 0.7194 0.4387  6 Pd 2.61-2.62
8 Pd 0.6772 0.8753 0.3545  4 Ge 2.59-2.62, 1 Pd 2.85
9 Pd 0.3228 0.5208 0.6455  4 Ge 2.59-2.62, 1 Pd 2.85
10 Ge 0.5000 0.8061 0.0000  2 Pd 2.59, 1 Ge 2.79
11 Pd 0.6772 0.4792 0.3545  4 Ge 2.59-2.62, 1 Pd 2.85

Computed properties:
- Calculated formation energy: -614 meV/atom
- Symmetry: Immm

***

A plane-wave DFT calculation with PBE was carried out for a relaxed structure of MgCrSeCl2.

a = 5.6225 Å, b = 4.6899 Å, c = 5.6225 Å
α = 90.00°, β = 90.00°, γ = 90.00°
With the nearest neighbours (Å) after each atom.
Sites, in units of the cell vectors:
1 Se 0.0000 0.0000 0.0000  2 Cr 2.34
2 Mg 0.5000 0.5000 0.5000  8 Cl 3.66, 4 Cr 3.98
3 Cl 0.5000 0.0000 0.0000  2 Se 2.81
4 Cr 0.0000 0.5000 0.0000  2 Se 2.34
5 Cl 0.0000 0.0000 0.5000  2 Se 2.81

Computed properties:
- Total DFT energy (no corrections): -3.49 eV per atom
- Symmetry: P4/mmm